1:
Material: CaTe2AsN
Method: DFT, PBE
State: optimized geometry

Calculated values
total moment = 0.001 μB per atom
calculated density = 4.6 g/cm³

Cell: 5.8709 5.8709 4.0501 Å, 90.00 90.00 90.00°
Closest atoms and distances in Å follow each position.
Sites, in units of the cell vectors:
1 Te 0.0000 0.5000 0.0000  2 Ca 2.94
2 Te 0.5000 0.0000 0.0000  2 Ca 2.94
3 As 0.5000 0.5000 0.5000  8 Te 3.57
4 N 0.0000 0.0000 0.5000  2 Ca 2.03
5 Ca 0.0000 0.0000 0.0000  2 N 2.03



2:
Material: CaTe2AsN
Method: DFT, PBE
State: optimized geometry

Calculated values
total moment = 0.055 μB per atom
calculated density = 5.1 g/cm³

Cell: 5.7997 5.7997 3.7157 Å, 90.00 90.00 90.00°
Closest atoms and distances in Å follow each position.
Sites, in units of the cell vectors:
1 Te 0.5000 0.0000 0.0000  2 As 2.90
2 Te 0.0000 0.5000 0.0000  2 As 2.90
3 As 0.0000 0.0000 0.0000  2 N 1.86
4 N 0.0000 0.0000 0.5000  2 As 1.86
5 Ca 0.5000 0.5000 0.5000  8 Te 3.44, 2 Ca 3.72



Compare the structures above. Which one is the least stable? 1 is.